La2YW | GGA-PBE | optimized geometry

Summary:
**Energy of formation**: 0.7284 eV per atom
**Excess energy over the best structure of this formula in the dataset**: 286 meV/atom
**Fermi-level density of states**: 1.557 states/eV/atom

Unit cell a=8.924 b=8.924 c=6.267 alpha=90.00 beta=90.00 gamma=90.00
Space group I-42d (No. 122)
Symmetry-distinct sites (fractional):
La 0.171 0.250 0.125
Y 0.000 0.000 0.500
W 0.000 0.000 0.000

LaY2W | GGA-PBE | optimized geometry

Summary:
**Energy of formation**: 0.5130 eV per atom
**Excess energy over the best structure of this formula in the dataset**: 105 meV/atom
**Fermi-level density of states**: 1.437 states/eV/atom

Unit cell a=3.839 b=5.400 c=10.782 alpha=90.00 beta=90.00 gamma=90.00
Space group Cmm2 (No. 35)
Symmetry-distinct sites (fractional):
La 0.000 0.000 0.000
Y 0.000 0.000 0.404
Y 0.000 0.500 0.687
W 0.000 0.500 0.200

La2YW | GGA-PBE | optimized geometry

Summary:
**Energy of formation**: 0.5945 eV per atom
**Excess energy over the best structure of this formula in the dataset**: 152 meV/atom
**Fermi-level density of states**: 1.366 states/eV/atom

Unit cell a=3.5934 b=3.5934 c=31.0523 alpha=90.00 beta=90.00 gamma=120.00
Space group R-3m (No. 166, hexagonal axes)
Symmetry-distinct sites (fractional):
La 0.0000 0.0000 0.2359
Y 0.0000 0.0000 0.0000
W 0.0000 0.0000 0.5000

LaY2W | GGA-PBE | optimized geometry

Summary:
**Energy of formation**: 0.5536 eV per atom
**Excess energy over the best structure of this formula in the dataset**: 146 meV/atom
**Fermi-level density of states**: 1.481 states/eV/atom

Unit cell a=7.476 b=7.476 c=7.476 alpha=90.00 beta=90.00 gamma=90.00
Space group F-43m (No. 216)
Symmetry-distinct sites (fractional):
La 0.000 0.000 0.000
Y 0.000 0.000 0.500
Y 0.250 0.250 0.250
W 0.250 0.250 0.750

La2YW | GGA-PBE | optimized geometry

Summary:
**Energy of formation**: 0.6679 eV per atom
**Excess energy over the best structure of this formula in the dataset**: 225 meV/atom
**Fermi-level density of states**: 1.502 states/eV/atom

Unit cell a=6.635 b=11.209 c=3.247 alpha=90.00 beta=118.20 gamma=90.00
Space group C2/m (No. 12)
Symmetry-distinct sites (fractional):
La 0.250 0.250 0.000
Y 0.000 0.000 0.500
W 0.000 0.500 0.500

LaY2W | GGA-PBE | optimized geometry

Summary:
**Energy of formation**: 0.5543 eV per atom
**Excess energy over the best structure of this formula in the dataset**: 147 meV/atom
**Fermi-level density of states**: 1.507 states/eV/atom

Unit cell a=3.244 b=4.805 c=6.879 alpha=90.00 beta=90.00 gamma=90.00
Space group Pmm2 (No. 25)
Symmetry-distinct sites (fractional):
La 0.000 0.000 0.000
Y 0.000 0.000 0.440
Y 0.500 0.500 0.700
W 0.500 0.500 0.239

LaY2W | GGA-PBE | optimized geometry

Summary:
**Energy of formation**: 0.8955 eV per atom
**Excess energy over the best structure of this formula in the dataset**: 488 meV/atom
**Fermi-level density of states**: 1.471 states/eV/atom

Unit cell a=4.540 b=4.540 c=21.756 alpha=90.00 beta=90.00 gamma=90.00
Space group I-42d (No. 122)
Symmetry-distinct sites (fractional):
La 0.000 0.000 0.000
Y 0.226 0.750 0.625
W 0.000 0.000 0.500

LaY2W | GGA-PBE | optimized geometry

Summary:
**Energy of formation**: 0.5325 eV per atom
**Excess energy over the best structure of this formula in the dataset**: 125 meV/atom
**Fermi-level density of states**: 1.549 states/eV/atom

Unit cell a=4.865 b=4.865 c=8.869 alpha=90.00 beta=90.00 gamma=90.00
Space group I4/mmm (No. 139)
Symmetry-distinct sites (fractional):
La 0.000 0.000 0.000
Y 0.000 0.500 0.250
W 0.000 0.000 0.500